<one>
Density functional theory data (PBE) for a relaxed KAl11O17 crystal.

extended XYZ file:
```
58
Lattice="-3.857 -0.924 -4.026 5.505 -0.198 -1.262 0.306 -22.438 4.856" Properties=species:S:1:pos:R:3 pbc="T T T"
K -0.660 -6.291 -1.890
K 2.614 -17.269 1.459
Al 0.483 -3.278 -3.676
Al 0.571 -9.742 -2.277
Al -0.484 -19.186 0.901
Al -0.438 -22.566 1.632
Al 0.000 0.000 0.000
Al -0.530 -15.835 0.175
Al 0.153 -11.219 2.428
Al -0.576 -12.455 -0.556
Al -2.169 -9.644 -1.649
Al -2.257 -3.180 -3.048
Al -0.337 -2.720 -1.045
Al -0.249 -9.184 0.354
Al 2.203 -14.376 -0.786
Al 2.291 -20.840 0.614
Al 4.123 -13.916 1.218
Al 2.484 -7.725 -0.606
Al 2.438 -4.374 -1.332
Al 2.530 -11.105 0.125
Al 2.392 -0.994 -2.063
Al 4.211 -20.380 2.617
Al 1.471 -20.281 3.245
Al 1.383 -13.818 1.846
O 0.815 -22.245 0.358
O 0.692 -13.241 -1.591
O -0.991 -8.989 -2.910
O -1.055 -4.266 -3.932
O -0.507 -17.510 0.538
O -2.218 -13.136 -0.923
O 0.263 -19.287 4.174
O 0.196 -14.370 3.110
O -0.600 -10.664 -0.944
O 0.043 -3.151 0.682
O 0.110 -8.068 1.746
O -0.719 -1.919 -2.837
O -2.095 -22.141 1.025
O 0.847 -3.811 -1.947
O 0.911 -8.533 -0.925
O 2.133 -10.912 -1.636
O 2.010 -1.908 -3.585
O -1.803 -8.436 -0.303
O -1.868 -3.713 -1.325
O 3.757 -15.124 -0.129
O 3.821 -19.847 0.894
O -0.056 -21.652 3.153
O -0.179 -12.648 1.204
O 1.043 -15.027 0.494
O 2.554 -12.896 0.513
O 1.107 -19.749 1.516
O 4.049 -1.419 -1.457
O 4.172 -10.424 0.492
O 2.673 -21.641 2.405
O 2.461 -6.050 -0.969
O 3.009 -19.294 3.501
O 2.945 -14.571 2.479
O 1.139 -1.315 -0.790
O 1.262 -10.319 1.159
```

Results
- D(E_F) (states/eV/atom) = 0.000
- V (Å³ per cell) = 635.0

***

<two>
Density functional theory data (PBE) for a relaxed KAl11O17 crystal.

extended XYZ file:
```
29
Lattice="11.958 0.009 0.005 10.619 5.499 0.005 10.619 2.591 4.850" Properties=species:S:1:pos:R:3 pbc="T T T"
K 5.659 1.381 0.829
Al 24.694 4.586 4.383
Al 0.004 0.001 0.001
Al 24.694 6.024 1.987
Al 24.031 7.301 4.383
Al 18.253 4.453 2.673
Al 21.585 5.266 3.161
Al 14.939 3.645 2.188
Al 11.625 2.836 1.702
Al 9.178 0.791 0.475
Al 8.511 2.076 2.888
Al 8.511 3.525 0.475
O 23.344 5.695 3.419
O 30.096 7.342 4.407
O 12.628 1.539 0.924
O 21.276 3.653 3.935
O 19.388 3.256 1.955
O 14.473 2.067 2.899
O 18.709 4.564 4.410
O 21.276 5.191 1.374
O 11.919 2.908 3.492
O 16.598 4.049 2.431
O 14.473 3.531 0.461
O 13.799 4.830 2.899
O 18.709 6.038 1.955
O 11.919 4.449 0.924
O 20.568 6.555 3.935
O 9.853 2.404 1.443
O 3.107 0.758 0.455
```

Results
- D(E_F) (states/eV/atom) = 0.000
- V (Å³ per cell) = 318.1

***

Energies relative to the most stable structure are <one> 0.0; <two> 0.6, reported in kJ/mol of atoms.

***

<one>
Density functional theory data (PBE) for a relaxed KAlP2O crystal.

extended XYZ file:
```
5
Lattice="-2.769 4.007 -2.427 -2.979 0.670 4.505 2.930 2.934 1.500" Properties=species:S:1:pos:R:3 pbc="T T T"
P -1.489 0.335 2.252
P -1.385 2.003 -1.214
K 0.000 0.000 0.000
Al -1.409 3.805 1.789
O 1.465 1.467 0.750
```

Results
- D(E_F) (states/eV/atom) = 0.959
- V (Å³ per cell) = 130.6

***

<two>
Density functional theory data (PBE) for a relaxed KAlP2O crystal.

extended XYZ file:
```
5
Lattice="5.358 0.000 0.000 0.000 5.358 0.000 0.000 0.000 3.419" Properties=species:S:1:pos:R:3 pbc="T T T"
P 0.000 2.679 0.000
P 2.679 0.000 0.000
K 2.679 2.679 1.710
Al 0.000 0.000 0.000
O 0.000 0.000 1.710
```

Results
- D(E_F) (states/eV/atom) = 0.758
- V (Å³ per cell) = 98.2

***

Energies relative to the most stable structure are <one> 174.8; <two> 0.0, reported in kJ/mol of atoms.

***

<one>
Density functional theory data (PBE) for a relaxed KAlRe2O crystal.

extended XYZ file:
```
5
Lattice="4.681 0.000 0.000 0.000 6.485 0.000 0.000 0.000 4.681" Properties=species:S:1:pos:R:3 pbc="T T T"
Re 0.000 0.000 2.340
Re 2.340 0.000 0.000
K 0.000 3.242 0.000
Al 0.000 0.000 0.000
O 2.340 3.242 2.340
```

Results
- D(E_F) (states/eV/atom) = 2.022
- V (Å³ per cell) = 142.1

***

<two>
Density functional theory data (PBE) for a relaxed KAlRe2O crystal.

extended XYZ file:
```
5
Lattice="4.070 0.000 0.000 0.000 5.272 0.000 0.000 0.000 4.070" Properties=species:S:1:pos:R:3 pbc="T T T"
Re 0.000 0.000 2.035
Re 2.035 0.000 0.000
K 2.035 2.636 2.035
Al 0.000 2.636 0.000
O 0.000 0.000 0.000
```

Results
- D(E_F) (states/eV/atom) = 0.859
- V (Å³ per cell) = 87.3

***

Energies relative to the most stable structure are <one> 122.6; <two> 0.0, reported in kJ/mol of atoms.

***

<one>
Density functional theory data (PBE) for a relaxed KAlOs crystal.

extended XYZ file:
```
3
Lattice="-1.423 0.782 -2.416 2.234 -1.858 -0.164 -4.945 -6.029 0.960" Properties=species:S:1:pos:R:3 pbc="T T T"
K -1.907 -2.175 -1.334
Os -2.464 -5.220 -0.239
Al -4.708 -5.740 0.914
```

Results
- D(E_F) (states/eV/atom) = 0.557
- V (Å³ per cell) = 57.6

***

<two>
Density functional theory data (PBE) for a relaxed KAlOs crystal.

extended XYZ file:
```
3
Lattice="-4.926 0.930 0.672 2.699 -2.138 3.705 0.585 2.405 0.962" Properties=species:S:1:pos:R:3 pbc="T T T"
K -2.189 0.710 2.004
Os 0.645 0.889 3.496
Al 0.487 2.003 0.801
```

Results
- D(E_F) (states/eV/atom) = 0.961
- V (Å³ per cell) = 58.8

***

<three>
Density functional theory data (PBE) for a relaxed KAlOs crystal.

extended XYZ file:
```
3
Lattice="-3.921 0.859 -5.219 0.088 -1.834 -6.323 0.032 -0.936 6.517" Properties=species:S:1:pos:R:3 pbc="T T T"
K -1.263 -0.321 -3.803
Os -2.321 -0.591 -6.990
Al -0.249 -0.063 -0.750
```

Results
- D(E_F) (states/eV/atom) = 0.586
- V (Å³ per cell) = 69.5

***

<four>
Density functional theory data (PBE) for a relaxed KAlOs crystal.

extended XYZ file:
```
3
Lattice="-3.191 -3.242 -0.007 0.235 -3.416 -2.995 1.022 -4.200 1.416" Properties=species:S:1:pos:R:3 pbc="T T T"
K -0.967 -5.429 -0.793
Os -1.450 -8.144 -1.190
Al 0.000 0.000 0.000
```

Results
- D(E_F) (states/eV/atom) = 0.096
- V (Å³ per cell) = 66.6

***

Energies relative to the most stable structure are <one> 25.4; <two> 58.2; <three> 0.0; <four> 89.5, reported in kJ/mol of atoms.

***

<one>
Density functional theory data (PBE) for a relaxed KAl3Os crystal.

extended XYZ file:
```
5
Lattice="-1.800 4.770 0.707 -4.805 -1.838 0.174 0.414 -0.599 5.095" Properties=species:S:1:pos:R:3 pbc="T T T"
K 0.000 0.000 0.000
Os -3.095 1.166 2.988
Al -2.402 -0.919 0.087
Al 0.207 -0.300 2.548
Al -0.900 2.385 0.354
```

Results
- D(E_F) (states/eV/atom) = 1.027
- V (Å³ per cell) = 136.4

***

<two>
Density functional theory data (PBE) for a relaxed KAl3Os crystal.

extended XYZ file:
```
5
Lattice="-4.246 2.178 -0.914 -1.156 -3.556 -3.102 -2.060 -2.493 3.626" Properties=species:S:1:pos:R:3 pbc="T T T"
K -3.731 -1.936 -0.195
Os 0.000 0.000 0.000
Al -0.578 -1.778 -1.551
Al -1.030 -1.247 1.813
Al -2.123 1.089 -0.457
```

Results
- D(E_F) (states/eV/atom) = 0.009
- V (Å³ per cell) = 114.7

***

Energies relative to the most stable structure are <one> 266.7; <two> 0.0, reported in kJ/mol of atoms.

***

<one>
Density functional theory data (PBE) for a relaxed K2AlOs2 crystal.

extended XYZ file:
```
5
Lattice="-1.358 0.216 -3.505 -3.247 -1.509 1.165 -5.095 6.536 0.354" Properties=species:S:1:pos:R:3 pbc="T T T"
K -4.378 3.052 -2.160
K -5.322 2.190 0.175
Os -2.704 0.387 -0.951
Os -6.995 4.855 -1.035
Al 0.000 0.000 0.000
```

Results
- D(E_F) (states/eV/atom) = 1.049
- V (Å³ per cell) = 111.4

***

<two>
Density functional theory data (PBE) for a relaxed K2AlOs2 crystal.

extended XYZ file:
```
10
Lattice="6.371 0.000 0.000 0.000 6.371 0.000 0.000 0.000 5.826" Properties=species:S:1:pos:R:3 pbc="T T T"
K 1.122 4.307 2.913
K 4.307 5.249 2.913
K 5.249 2.064 2.913
K 2.064 1.122 2.913
Os 2.358 5.544 0.000
Os 5.544 4.013 0.000
Os 4.013 0.828 0.000
Os 0.828 2.358 0.000
Al 0.000 0.000 0.000
Al 3.186 3.186 0.000
```

Results
- D(E_F) (states/eV/atom) = 0.636
- V (Å³ per cell) = 236.5

***

Energies relative to the most stable structure are <one> 84.2; <two> 0.0, reported in kJ/mol of atoms.

***

<one>
Density functional theory data (PBE) for a relaxed KAlOs3 crystal.

extended XYZ file:
```
5
Lattice="4.634 0.000 0.000 0.000 4.634 0.000 0.000 0.000 4.634" Properties=species:S:1:pos:R:3 pbc="T T T"
K 2.317 2.317 2.317
Os 0.000 2.317 0.000
Os 0.000 0.000 2.317
Os 2.317 0.000 0.000
Al 0.000 0.000 0.000
```

Results
- D(E_F) (states/eV/atom) = 1.153
- V (Å³ per cell) = 99.5

***

<two>
Density functional theory data (PBE) for a relaxed KAlOs3 crystal.

extended XYZ file:
```
5
Lattice="-1.052 -4.312 -1.024 4.005 -0.474 -2.118 1.898 -1.390 3.901" Properties=species:S:1:pos:R:3 pbc="T T T"
K 0.000 0.000 0.000
Os 2.003 -0.237 -1.059
Os 0.949 -0.695 1.950
Os -0.526 -2.156 -0.512
Al 2.426 -3.088 0.379
```

Results
- D(E_F) (states/eV/atom) = 1.646
- V (Å³ per cell) = 94.5

***

Energies relative to the most stable structure are <one> 0.0; <two> 169.5, reported in kJ/mol of atoms.

***

<one>
Density functional theory data (PBE) for a relaxed KAl3P crystal.

extended XYZ file:
```
5
Lattice="-4.442 -0.300 -2.340 2.066 -2.903 -3.549 -1.138 -4.096 2.687" Properties=species:S:1:pos:R:3 pbc="T T T"
P 0.000 0.000 0.000
K -1.757 -3.650 -1.601
Al 1.033 -1.451 -1.775
Al -0.569 -2.048 1.344
Al -2.221 -0.150 -1.170
```

Results
- D(E_F) (states/eV/atom) = 0.690
- V (Å³ per cell) = 127.2

***

<two>
Density functional theory data (PBE) for a relaxed KAl3P crystal.

extended XYZ file:
```
5
Lattice="-0.514 3.778 4.136 -3.565 -3.424 2.685 4.321 -2.376 2.707" Properties=species:S:1:pos:R:3 pbc="T T T"
P 0.121 -1.011 4.764
K 0.000 0.000 0.000
Al -1.782 -1.712 1.342
Al 2.160 -1.188 1.354
Al -0.257 1.889 2.068
```

Results
- D(E_F) (states/eV/atom) = 0.852
- V (Å³ per cell) = 178.0

***

Energies relative to the most stable structure are <one> 0.0; <two> 133.7, reported in kJ/mol of atoms.

***

<one>
Density functional theory data (PBE) for a relaxed K2AlP2 crystal.

extended XYZ file:
```
10
Lattice="5.603 0.000 2.391 1.492 6.775 4.265 -0.139 0.954 8.086" Properties=species:S:1:pos:R:3 pbc="T T T"
K 2.289 3.042 10.155
K 4.666 4.687 4.587
K 0.757 0.734 5.986
K 6.198 6.995 8.755
Al 2.077 3.865 6.773
Al 4.878 3.865 7.969
P 1.393 4.165 4.496
P 5.562 3.564 10.245
P 3.356 5.689 7.655
P 3.599 2.040 7.087
```

Results
- D(E_F) (states/eV/atom) = 0.822
- V (Å³ per cell) = 289.8

***

<two>
Density functional theory data (PBE) for a relaxed K2AlP2 crystal.

extended XYZ file:
```
5
Lattice="-3.107 -2.879 -2.274 -0.797 -2.379 4.101 -6.674 1.362 2.312" Properties=species:S:1:pos:R:3 pbc="T T T"
P -2.721 -1.979 1.141
P -7.857 -1.917 2.998
K -5.867 -2.073 0.476
K -4.711 -1.823 3.663
Al 0.000 0.000 0.000
```

Results
- D(E_F) (states/eV/atom) = 0.578
- V (Å³ per cell) = 146.5

***

Energies relative to the most stable structure are <one> 0.0; <two> 60.1, reported in kJ/mol of atoms.

***

<one>
Density functional theory data (PBE) for a relaxed KAlPS2 crystal.

extended XYZ file:
```
5
Lattice="4.860 0.000 0.000 0.000 4.860 0.000 0.000 0.000 4.706" Properties=species:S:1:pos:R:3 pbc="T T T"
P 0.000 0.000 2.353
K 2.430 2.430 2.353
S 0.000 2.430 0.000
S 2.430 0.000 0.000
Al 0.000 0.000 0.000
```

Results
- D(E_F) (states/eV/atom) = 0.730
- V (Å³ per cell) = 111.1

***

<two>
Density functional theory data (PBE) for a relaxed KAlPS2 crystal.

extended XYZ file:
```
5
Lattice="5.729 0.000 0.000 0.000 5.729 0.000 0.000 0.000 5.974" Properties=species:S:1:pos:R:3 pbc="T T T"
P 0.000 0.000 2.987
K 0.000 0.000 0.000
S 0.000 2.864 0.000
S 2.864 0.000 0.000
Al 2.864 2.864 2.987
```

Results
- D(E_F) (states/eV/atom) = 0.927
- V (Å³ per cell) = 196.1

***

Energies relative to the most stable structure are <one> 0.0; <two> 150.5, reported in kJ/mol of atoms.

***

<one>
Density functional theory data (PBE) for a relaxed K2AlPb crystal.

extended XYZ file:
```
4
Lattice="4.792 0.000 0.000 0.000 4.783 0.000 0.000 0.000 5.785" Properties=species:S:1:pos:R:3 pbc="T T T"
Pb 2.396 0.000 2.893
K 0.000 0.000 0.000
K 2.396 2.392 0.000
Al 0.000 2.392 2.893
```

Results
- D(E_F) (states/eV/atom) = 0.631
- V (Å³ per cell) = 132.6

***

<two>
Density functional theory data (PBE) for a relaxed K2AlPb crystal.

extended XYZ file:
```
4
Lattice="0.000 4.151 4.151 4.151 0.000 4.151 4.151 4.151 0.000" Properties=species:S:1:pos:R:3 pbc="T T T"
Pb 4.151 4.151 4.151
K 2.076 2.076 2.076
K 6.227 6.227 6.227
Al 0.000 0.000 0.000
```

Results
- D(E_F) (states/eV/atom) = 1.065
- V (Å³ per cell) = 143.1

***

Energies relative to the most stable structure are <one> 0.0; <two> 6.4, reported in kJ/mol of atoms.